Record 1
BeIrF GGA-PBE relaxed; excess energy over the best structure of this formula in the dataset = 0 meV/atom
1.0
2.583 0.000 0.000
0.010 4.590 0.000
0.180 2.119 7.526
Be Ir F
2 2 2
Direct
0.234 0.123 0.245
0.766 0.877 0.755
0.249 0.252 0.511
0.751 0.748 0.489
0.258 0.807 0.876
0.742 0.193 0.124

=====

Record 2
KRb GGA-PBE relaxed; formation enthalpy at 0 K = 0.001 eV per atom; excess energy over the best structure of this formula in the dataset = 0 meV/atom
1.0
5.221 0.000 0.000
0.000 5.873 0.000
-0.002 0.000 10.562
K Rb
2 2
Direct
0.249 0.250 0.112
0.751 0.750 0.888
0.251 0.250 0.637
0.749 0.750 0.363

=====

Record 3
UW2C GGA-PBE relaxed; formation enthalpy at 0 K = 0.597 eV per atom
1.0
1.509 0.871 8.083
-1.509 0.871 8.083
0.000 -1.742 8.083
U W C
1 2 1
Direct
0.000 0.000 0.000
0.115 0.115 0.115
0.885 0.885 0.885
0.500 0.500 0.500

=====

Record 4
MnAgW2 GGA-PBE relaxed; formation enthalpy at 0 K = 0.842 eV per atom; excess energy over the best structure of this formula in the dataset = 515 meV/atom
1.0
0.000 3.119 3.119
3.119 0.000 3.119
3.119 3.119 0.000
Mn Ag W
1 1 2
Direct
0.000 0.000 0.000
0.500 0.500 0.500
0.250 0.250 0.250
0.750 0.750 0.750

=====

Record 5
Zr2AlAsAu GGA-PBE relaxed; formation enthalpy at 0 K = 0.743 eV per atom; excess energy over the best structure of this formula in the dataset = 405 meV/atom
1.0
5.228 0.000 0.000
0.000 5.228 0.000
0.000 0.000 4.918
Zr Al As Au
2 1 1 1
Direct
0.000 0.500 0.000
0.500 0.000 0.000
0.000 0.000 0.500
0.500 0.500 0.500
0.500 0.500 0.000

=====

Record 6
TcSeCl2 GGA-PBE relaxed; excess energy over the best structure of this formula in the dataset = 1212 meV/atom
1.0
3.067 -4.190 0.000
3.067 4.190 0.000
0.000 0.000 3.145
Tc Se Cl
1 1 2
Direct
0.000 0.000 0.000
0.500 0.500 0.000
0.000 0.500 0.500
0.500 0.000 0.500

=====

Record 7
NaBeW2C GGA-PBE relaxed; formation enthalpy at 0 K = 0.850 eV per atom
1.0
4.205 0.000 0.000
0.000 4.205 0.000
0.000 0.000 3.803
Na Be W C
1 1 2 1
Direct
0.000 0.000 0.000
0.500 0.500 0.000
0.000 0.500 0.500
0.500 0.000 0.500
0.500 0.500 0.500

=====

Record 8
Mg12ZnIn3 GGA-PBE relaxed; formation enthalpy at 0 K = -0.064 eV per atom
1.0
4.457 0.000 0.000
0.000 4.457 0.000
0.000 0.000 17.843
Mg Zn In
12 1 3
Direct
0.000 0.000 0.000
0.000 0.000 0.245
0.000 0.000 0.500
0.000 0.000 0.755
0.000 0.500 0.117
0.000 0.500 0.372
0.000 0.500 0.628
0.000 0.500 0.883
0.500 0.000 0.117
0.500 0.000 0.372
0.500 0.000 0.628
0.500 0.000 0.883
0.500 0.500 0.000
0.500 0.500 0.245
0.500 0.500 0.500
0.500 0.500 0.755

=====

Record 9
KVAu2Se4 GGA-PBE relaxed; DFT total energy = -4.339 eV/atom
1.0
-3.111 4.185 4.416
3.111 -4.185 4.416
3.111 4.185 -4.416
K V Au Se
1 1 2 4
Direct
0.000 0.000 0.000
0.500 0.500 0.000
0.338 0.838 0.500
0.662 0.162 0.500
0.164 0.159 0.640
0.481 0.841 0.005
0.519 0.524 0.360
0.836 0.476 0.995

=====

Record 10
TlPd3Pt GGA-PBE relaxed; formation enthalpy at 0 K = -0.132 eV per atom; excess energy over the best structure of this formula in the dataset = 0 meV/atom
1.0
5.763 0.000 0.000
0.000 4.064 0.000
0.000 0.000 14.260
Tl Pd Pt
4 12 4
Direct
0.115 0.250 0.149
0.385 0.750 0.649
0.615 0.250 0.351
0.885 0.750 0.851
0.116 0.250 0.352
0.132 0.250 0.949
0.136 0.250 0.748
0.364 0.750 0.248
0.368 0.750 0.449
0.384 0.750 0.852
0.616 0.250 0.148
0.632 0.250 0.551
0.636 0.250 0.752
0.864 0.750 0.252
0.868 0.750 0.051
0.884 0.750 0.648
0.119 0.250 0.547
0.381 0.750 0.047
0.619 0.250 0.953
0.881 0.750 0.453

=====

Record 11
Li2PbCl GGA-PBE relaxed; excess energy over the best structure of this formula in the dataset = 100 meV/atom
1.0
3.248 0.000 0.000
0.000 3.248 0.000
0.000 0.000 7.835
Li Pb Cl
2 1 1
Direct
0.000 0.000 0.196
0.000 0.000 0.804
0.500 0.500 0.500
0.500 0.500 0.000

=====

Record 12
Na2InGa GGA-PBE relaxed; formation enthalpy at 0 K = 0.019 eV per atom; excess energy over the best structure of this formula in the dataset = 115 meV/atom
1.0
1.671 0.965 10.652
-1.671 0.965 10.652
0.000 -1.930 10.652
Na In Ga
2 1 1
Direct
0.000 0.000 0.000
0.173 0.173 0.173
0.420 0.420 0.420
0.587 0.587 0.587

=====

Number 1: DOS at the Fermi energy 2.923 states/eV/cell. Number 2: DOS at the Fermi energy 2.558 states/eV/cell. Number 3: DOS at the Fermi energy 6.143 states/eV/cell. Number 4: DOS at the Fermi energy 6.617 states/eV/cell. Number 5: DOS at the Fermi energy 7.775 states/eV/cell. Number 6: DOS at the Fermi energy 3.132 states/eV/cell. Number 7: DOS at the Fermi energy 2.675 states/eV/cell. Number 8: DOS at the Fermi energy 7.464 states/eV/cell. Number 9: DOS at the Fermi energy 0.048 states/eV/cell. Number 10: DOS at the Fermi energy 25.272 states/eV/cell. Number 11: DOS at the Fermi energy 1.307 states/eV/cell. Number 12: DOS at the Fermi energy 2.234 states/eV/cell.